Entry 1:
DFT (PBE) results for an optimized crystal structure of PrNd5Dy6.

Cell: 11.8714 6.2777 6.2783 Å, 60.00 84.96 79.87°
Atoms (fractional coordinates):
Pr 0.0000 0.0000 0.0000
Nd 0.5000 0.1667 0.6667
Nd 0.0000 0.3333 0.3334
Nd 0.5000 0.5000 0.0000
Nd 0.0000 0.6667 0.6666
Nd 0.5000 0.8333 0.3333
Dy 0.7497 0.0830 0.3335
Dy 0.2503 0.5836 0.3335
Dy 0.2503 0.2506 0.0000
Dy 0.7497 0.7494 0.0000
Dy 0.7497 0.4164 0.6665
Dy 0.2503 0.9170 0.6665

**Fermi-level density of states**: 13.57 states/eV per cell
**Space group**: No. 12
**Energy relative to the elements**: 11.1 meV/atom
**Calculated total energy**: -4.675 eV/atom

=====

Entry 2:
DFT (PBE) results for an optimized crystal structure of Cr2AgBAu.

Cell: 5.1316 3.9952 5.1316 Å, 90.00 90.00 90.00°
Last column: magnetic moment on the atom in μB.
Atoms (fractional coordinates):
Cr 0.0000 0.0000 0.5000  3.88
Cr 0.5000 0.0000 0.0000  3.85
B 0.0000 0.5000 0.0000  -0.10
Au 0.0000 0.0000 0.0000  0.07
Ag 0.5000 0.5000 0.5000  0.00

**Fermi-level density of states**: 4.03 states/eV per cell
**Space group**: No. 123
**Energy relative to the elements**: 1204.7 meV/atom
**Calculated total energy**: -5.206 eV/atom

=====

Entry 3:
DFT (PBE) results for an optimized crystal structure of ScPW.

Cell: 3.2956 3.2956 5.6042 Å, 90.00 90.00 120.00°
Atoms (fractional coordinates):
Sc 0.6667 0.3333 0.3027
P 0.0000 0.0000 0.9806
W 0.3333 0.6667 0.7166

**Fermi-level density of states**: 2.18 states/eV per cell
**Space group**: No. 156
**Energy relative to the elements**: -362.3 meV/atom
**Calculated total energy**: -8.594 eV/atom

=====

Entry 4:
DFT (PBE) results for an optimized crystal structure of MgV2Ga.

Cell: 7.0924 7.0924 5.6477 Å, 51.10 51.10 90.00°
Last column: magnetic moment on the atom in μB.
Atoms (fractional coordinates):
Mg 0.5000 0.5000 0.0000  0.00
Mg 0.2500 0.7500 0.5000  0.00
Ga 0.0000 0.0000 0.0000  0.01
Ga 0.7500 0.2500 0.5000  0.01
V 0.6416 0.1250 0.2500  0.38
V 0.1084 0.6250 0.2500  0.38
V 0.3750 0.3584 0.7500  0.38
V 0.8750 0.8916 0.7500  0.38

**Fermi-level density of states**: 7.45 states/eV per cell
**Space group**: No. 122
**Energy relative to the elements**: 524.9 meV/atom
**Calculated total energy**: -5.190 eV/atom

=====

Entry 5:
DFT (PBE) results for an optimized crystal structure of CaIn3B.

Cell: 4.9546 4.9546 4.9546 Å, 90.00 90.00 90.00°
Atoms (fractional coordinates):
Ca 0.5000 0.5000 0.5000
B 0.0000 0.0000 0.0000
In 0.0000 0.5000 0.0000
In 0.0000 0.0000 0.5000
In 0.5000 0.0000 0.0000

**Fermi-level density of states**: 2.67 states/eV per cell
**Space group**: No. 221
**Energy relative to the elements**: 323.9 meV/atom
**Calculated total energy**: -3.055 eV/atom

=====

Entry 6:
DFT (PBE) results for an optimized crystal structure of SrPS2Cl.

Cell: 5.6528 5.6528 5.2942 Å, 90.00 90.00 90.00°
Atoms (fractional coordinates):
Sr 0.0000 0.0000 0.0000
S 0.0000 0.5000 0.0000
S 0.5000 0.0000 0.0000
P 0.5000 0.5000 0.5000
Cl 0.0000 0.0000 0.5000

**Raw formation energy**: 229 kJ/mol of formula units
**Fermi-level density of states**: 9.11 states/eV per cell
**Space group**: No. 123
**Calculated total energy**: -2.964 eV/atom

=====

Entry 7:
DFT (PBE) results for an optimized crystal structure of Pm3YSb4.

Cell: 6.3167 6.3167 6.3167 Å, 90.00 90.00 90.00°
Atoms (fractional coordinates):
Y 0.0000 0.0000 0.0000
Sb 0.5000 0.0000 0.0000
Sb 0.0000 0.5000 0.0000
Sb 0.0000 0.0000 0.5000
Sb 0.5000 0.5000 0.5000
Pm 0.0000 0.5000 0.5000
Pm 0.5000 0.0000 0.5000
Pm 0.5000 0.5000 0.0000

**Raw formation energy**: -913 kJ/mol of formula units
**Fermi-level density of states**: 0.49 states/eV per cell
**Space group**: No. 221
**Calculated total energy**: -5.833 eV/atom

=====

Entry 8:
DFT (PBE) results for an optimized crystal structure of ScFeSi3Ni.

Cell: 5.2522 5.9182 6.8977 Å, 115.40 90.00 90.00°
Atoms (fractional coordinates):
Sc 0.7500 0.2913 0.5826
Sc 0.2500 0.7087 0.4174
Fe 0.2500 0.0364 0.0728
Fe 0.7500 0.9636 0.9272
Si 0.2500 0.2070 0.4140
Si 0.0000 0.2981 0.0000
Si 0.5000 0.7019 0.0000
Si 0.5000 0.2981 0.0000
Si 0.0000 0.7019 0.0000
Si 0.7500 0.7930 0.5860
Ni 0.2500 0.3793 0.7585
Ni 0.7500 0.6207 0.2415

**Raw formation energy**: -153 kJ/mol of formula units
**Fermi-level density of states**: 6.37 states/eV per cell
**Space group**: No. 63
**Calculated total energy**: -6.406 eV/atom

=====

Entry 9:
DFT (PBE) results for an optimized crystal structure of Tb2UH.

Cell: 3.2209 3.2209 9.5912 Å, 80.33 80.33 60.00°
Last column: magnetic moment on the atom in μB.
Atoms (fractional coordinates):
Tb 0.1143 0.1143 0.6572  -0.04
Tb 0.8857 0.8857 0.3428  -0.04
U 0.0000 0.0000 0.0000  1.95
H 0.5000 0.5000 0.5000  0.00

**Fermi-level density of states**: 6.76 states/eV per cell
**Space group**: No. 166
**Calculated total energy**: -5.725 eV/atom

=====

Entry 10:
DFT (PBE) results for an optimized crystal structure of NpU2P.

Cell: 4.3991 4.3991 5.0908 Å, 64.40 64.40 60.00°
Atoms (fractional coordinates):
Np 0.5000 0.5000 0.5000
P 0.0000 0.0000 0.0000
U 0.7688 0.7688 0.6936
U 0.2312 0.2312 0.3064

**Fermi-level density of states**: 7.36 states/eV per cell
**Space group**: No. 166
**Energy relative to the elements**: -130.0 meV/atom
**Calculated total energy**: -10.362 eV/atom

=====

Entry 11:
DFT (PBE) results for an optimized crystal structure of Cs2SiAu.

Cell: 8.1621 9.4710 10.6400 Å, 100.83 90.00 90.00°
Atoms (fractional coordinates):
Cs 0.7204 0.0413 0.2479
Cs 0.2204 0.4587 0.7521
Cs 0.2796 0.9587 0.7521
Cs 0.7796 0.5413 0.2479
Cs 0.7833 0.6466 0.7501
Cs 0.2833 0.8534 0.2499
Cs 0.2167 0.3534 0.2499
Cs 0.7167 0.1466 0.7501
Si 0.5549 0.3847 0.4997
Si 0.0549 0.1153 0.5003
Si 0.4451 0.6153 0.5003
Si 0.9451 0.8847 0.4997
Au 0.3396 0.2009 0.5004
Au 0.8396 0.2991 0.4996
Au 0.6604 0.7991 0.4996
Au 0.1604 0.7009 0.5004

**Raw formation energy**: -61 kJ/mol of formula units
**Fermi-level density of states**: 8.38 states/eV per cell
**Space group**: No. 14
**Calculated total energy**: -2.760 eV/atom

=====

Entry 12:
DFT (PBE) results for an optimized crystal structure of Tb3Pm4YTe8.

Cell: 8.8048 8.8763 8.8034 Å, 119.71 120.01 90.00°
Atoms (fractional coordinates):
Tb 0.5000 0.5000 0.0000
Tb 0.5000 0.5000 0.5000
Tb 0.0000 0.5000 0.5000
Pm 0.5000 0.0000 0.0000
Pm 0.5000 0.0000 0.5000
Pm 0.0000 0.0000 0.0000
Pm 0.0000 0.0000 0.5000
Y 0.0000 0.5000 0.0000
Te 0.2470 0.7415 0.9945
Te 0.2470 0.7416 0.4941
Te 0.2527 0.2582 0.5055
Te 0.7475 0.7415 0.9945
Te 0.2525 0.2585 0.0055
Te 0.7473 0.7418 0.4945
Te 0.7530 0.2584 0.5059
Te 0.7530 0.2585 0.0055

**Raw formation energy**: -2095 kJ/mol of formula units
**Fermi-level density of states**: 11.95 states/eV per cell
**Space group**: No. 166
**Calculated total energy**: -5.388 eV/atom

=====

Entry 13:
DFT (PBE) results for an optimized crystal structure of TbLuBe.

Cell: 3.4225 3.4225 6.4237 Å, 105.45 105.45 90.00°
Atoms (fractional coordinates):
Be 0.6718 0.6718 0.3436
Lu 0.3003 0.3003 0.6006
Tb 0.0279 0.0279 0.0558

**Fermi-level density of states**: 3.09 states/eV per cell
**Space group**: No. 107
**Energy relative to the elements**: 77.6 meV/atom
**Calculated total energy**: -4.215 eV/atom

=====

Entry 14:
DFT (PBE) results for an optimized crystal structure of HoErPaSn.

Cell: 5.3105 5.3105 5.3105 Å, 60.00 60.00 60.00°
Last column: magnetic moment on the atom in μB.
Atoms (fractional coordinates):
Pa 0.7500 0.7500 0.7500  0.77
Ho 0.0000 0.0000 0.0000  0.23
Sn 0.2500 0.2500 0.2500  -0.03
Er 0.5000 0.5000 0.5000  0.26

**Fermi-level density of states**: 7.26 states/eV per cell
**Space group**: No. 216
**Energy relative to the elements**: 21.5 meV/atom
**Calculated total energy**: -5.638 eV/atom

=====

Entry 15:
DFT (PBE) results for an optimized crystal structure of KTePt2.

Cell: 4.6012 2.9591 7.1409 Å, 81.39 90.00 90.00°
Atoms (fractional coordinates):
K 0.5000 0.7500 0.7500
Pt 0.0000 0.1081 0.0669
Pt 0.0000 0.3919 0.4331
Te 0.5000 0.2500 0.2500

**Raw formation energy**: 47 kJ/mol of formula units
**Fermi-level density of states**: 1.63 states/eV per cell
**Space group**: No. 10
**Calculated total energy**: -3.957 eV/atom

=====

Entry 16:
DFT (PBE) results for an optimized crystal structure of HfIrAuO2.

Cell: 3.9014 5.8167 3.9014 Å, 90.00 90.00 90.00°
Last column: magnetic moment on the atom in μB.
Atoms (fractional coordinates):
Hf 0.0000 0.5000 0.0000  -0.06
Ir 0.5000 0.5000 0.5000  0.52
Au 0.0000 0.0000 0.0000  0.04
O 0.0000 0.0000 0.5000  0.06
O 0.5000 0.0000 0.0000  0.10

**Raw formation energy**: 314 kJ/mol of formula units
**Fermi-level density of states**: 3.32 states/eV per cell
**Space group**: No. 123
**Calculated total energy**: -5.751 eV/atom

=====

Entry 17:
DFT (PBE) results for an optimized crystal structure of PrSi3IrRu.

Cell: 5.7647 6.2926 7.2885 Å, 115.57 90.00 90.00°
Atoms (fractional coordinates):
Pr 0.7500 0.2019 0.4037
Pr 0.2500 0.7981 0.5963
Si 0.2500 0.2236 0.4472
Si 0.0000 0.2890 0.0000
Si 0.5000 0.7110 0.0000
Si 0.5000 0.2890 0.0000
Si 0.0000 0.7110 0.0000
Si 0.7500 0.7764 0.5528
Ir 0.2500 0.3938 0.7877
Ir 0.7500 0.6062 0.2123
Ru 0.2500 0.0557 0.1114
Ru 0.7500 0.9443 0.8886

**Raw formation energy**: -320 kJ/mol of formula units
**Fermi-level density of states**: 3.10 states/eV per cell
**Space group**: No. 63
**Calculated total energy**: -7.084 eV/atom

=====

Entry 18:
DFT (PBE) results for an optimized crystal structure of Dy2ZrScAs4.

Cell: 3.9875 6.8987 6.9164 Å, 109.35 90.00 90.00°
Atoms (fractional coordinates):
Dy 0.5000 0.0000 0.5000
Dy 0.0000 0.5000 0.5000
Zr 0.5000 0.5000 0.0000
Sc 0.0000 0.0000 0.0000
As 0.5000 0.2447 0.2351
As 0.5000 0.7553 0.7649
As 0.0000 0.2540 0.7640
As 0.0000 0.7460 0.2360

**Fermi-level density of states**: 1.35 states/eV per cell
**Space group**: No. 10
**Energy relative to the elements**: -1398.0 meV/atom
**Calculated total energy**: -6.733 eV/atom

=====

Entry 19:
DFT (PBE) results for an optimized crystal structure of CaScBO4.

Cell: 4.8886 5.1272 6.2755 Å, 90.00 107.49 90.00°
Atoms (fractional coordinates):
Ca 0.7082 0.7500 0.9260
Ca 0.2918 0.2500 0.0740
Sc 0.7882 0.7500 0.4579
Sc 0.2118 0.2500 0.5421
B 0.2370 0.7500 0.3161
B 0.7630 0.2500 0.6839
O 0.9625 0.4790 0.7252
O 0.0375 0.9790 0.2748
O 0.0375 0.5210 0.2748
O 0.9625 0.0210 0.7252
O 0.4263 0.7500 0.1691
O 0.5737 0.2500 0.8309
O 0.4126 0.7500 0.5548
O 0.5874 0.2500 0.4452

**Raw formation energy**: -2035 kJ/mol of formula units
**Fermi-level density of states**: 0.00 states/eV per cell
**Space group**: No. 11
**Calculated total energy**: -7.990 eV/atom

=====

Entry 20:
DFT (PBE) results for an optimized crystal structure of Tb2Sm4Th.

Cell: 3.6196 3.6203 20.5815 Å, 95.18 90.00 119.99°
Atoms (fractional coordinates):
Tb 0.6207 0.2414 0.0965
Tb 0.7109 0.4218 0.3799
Sm 0.9098 0.8196 0.9554
Sm 0.4287 0.8574 0.5227
Sm 0.0015 0.0031 0.2381
Sm 0.5220 0.0440 0.8090
Th 0.8077 0.6155 0.6664

**Fermi-level density of states**: 11.55 states/eV per cell
**Space group**: No. 8
**Energy relative to the elements**: 34.3 meV/atom
**Calculated total energy**: -5.045 eV/atom